No. 1
DFT (GGA-PBE) results for a relaxed CaAc2CdN crystal.

The calculation puts the uncorrected formation energy at -590.5 meV per atom. The value obtained for the magnetic moment is 0.00 μB/cell. The electronic total energy is -22.412 eV per cell.

It has space group P4/mmm (No. 123), with a = 5.399 Å, b = 5.399 Å, c = 4.922 Å, α = 90.00°, β = 90.00° and γ = 90.00°. The asymmetric unit holds Ca at (0.000, 0.000, 0.000), Ac at (0.000, 0.500, 0.500), Cd at (0.500, 0.500, 0.000) and N at (0.000, 0.000, 0.500).

No. 2
DFT (GGA-PBE) results for a relaxed Ca2AcNdCd4 crystal.

The formation energy is -0.356 eV/atom. The value obtained for the magnetic moment is 0.00 μB/cell. The electronic total energy is -58.159 eV per cell.

It has space group R-3m (No. 166, hexagonal axes), with a = 5.5239 Å, b = 5.5239 Å, c = 27.1061 Å, α = 90.00°, β = 90.00° and γ = 120.00°. The asymmetric unit holds Ca at (0.0000, 0.0000, 0.2488), Ac at (0.0000, 0.0000, 0.0000), Nd at (0.0000, 0.0000, 0.5000), Cd at (0.0000, 0.0000, 0.1275) and Cd at (0.0000, 0.0000, 0.3788).

No. 3
DFT (GGA-PBE) results for a relaxed CaAcNdCd crystal.

The formation energy is 0.063 eV/atom. The value obtained for the magnetic moment is 0.00 μB/cell. The value obtained for the offset from the most stable computed form is 0.209 eV/atom. The electronic total energy is -46.161 eV per cell.

It has space group F-43m (No. 216), with a = 8.218 Å, b = 8.218 Å, c = 8.218 Å, α = 90.00°, β = 90.00° and γ = 90.00°. The asymmetric unit holds Ca at (0.000, 0.000, 0.000), Ac at (0.250, 0.250, 0.750), Nd at (0.000, 0.000, 0.500) and Cd at (0.250, 0.250, 0.250).

No. 4
DFT (GGA-PBE) results for a relaxed CaAcNdCd crystal.

The formation energy is -0.146 eV/atom. The value obtained for the magnetic moment is 0.00 μB/cell. The value obtained for the offset from the most stable computed form is 0.000 eV/atom. The electronic total energy is -12.375 eV per cell.

It has space group P4mm (No. 99), with a = 3.810 Å, b = 3.810 Å, c = 9.738 Å, α = 90.00°, β = 90.00° and γ = 90.00°. The asymmetric unit holds Ca at (0.000, 0.000, 0.000), Ac at (0.500, 0.500, 0.316), Nd at (0.000, 0.000, 0.593) and Cd at (0.500, 0.500, 0.797).

No. 5
DFT (GGA-PBE) results for a relaxed CaAcCdNi crystal.

The formation energy is -0.126 eV/atom. The value obtained for the magnetic moment is 0.00 μB/cell. The electronic total energy is -53.240 eV per cell.

It has space group F-43m (No. 216), with a = 7.576 Å, b = 7.576 Å, c = 7.576 Å, α = 90.00°, β = 90.00° and γ = 90.00°. The asymmetric unit holds Ca at (0.000, 0.000, 0.000), Ac at (0.000, 0.000, 0.500), Cd at (0.250, 0.250, 0.250) and Ni at (0.250, 0.250, 0.750).

No. 6
DFT (GGA-PBE) results for a relaxed Ca2AcPrCd4 crystal.

The formation energy is -0.358 eV/atom. The value obtained for the magnetic moment is 0.00 μB/cell. The electronic total energy is -58.253 eV per cell.

It has space group R-3m (No. 166, hexagonal axes), with a = 5.5346 Å, b = 5.5346 Å, c = 27.1481 Å, α = 90.00°, β = 90.00° and γ = 120.00°. The asymmetric unit holds Ca at (0.0000, 0.0000, 0.2490), Ac at (0.0000, 0.0000, 0.0000), Pr at (0.0000, 0.0000, 0.5000), Cd at (0.0000, 0.0000, 0.1271) and Cd at (0.0000, 0.0000, 0.3784).

No. 7
DFT (GGA-PBE) results for a relaxed CaAcPrCd crystal.

The formation energy is -0.147 eV/atom. The value obtained for the magnetic moment is 0.00 μB/cell. The value obtained for the offset from the most stable computed form is 0.000 eV/atom. The electronic total energy is -12.393 eV per cell.

It has space group P4mm (No. 99), with a = 3.822 Å, b = 3.822 Å, c = 9.754 Å, α = 90.00°, β = 90.00° and γ = 90.00°. The asymmetric unit holds Ca at (0.000, 0.000, 0.000), Ac at (0.500, 0.500, 0.314), Pr at (0.000, 0.000, 0.592) and Cd at (0.500, 0.500, 0.799).

No. 8
DFT (GGA-PBE) results for a relaxed CaAcPrCd crystal.

The formation energy is 0.060 eV/atom. The value obtained for the magnetic moment is 0.00 μB/cell. The value obtained for the offset from the most stable computed form is 0.207 eV/atom. The electronic total energy is -46.265 eV per cell.

It has space group F-43m (No. 216), with a = 8.242 Å, b = 8.242 Å, c = 8.242 Å, α = 90.00°, β = 90.00° and γ = 90.00°. The asymmetric unit holds Ca at (0.000, 0.000, 0.000), Ac at (0.250, 0.250, 0.250), Pr at (0.000, 0.000, 0.500) and Cd at (0.250, 0.250, 0.750).